No. 1
Zn5C3 after structural relaxation, computed with PBE.

Summary:
M_tot	0.00	Bohr magnetons per cell
ΔE_f	1.233	eV/atom
final energy	-3.022	eV/atom
space-group type	P4/mmm (123)

Unit cell a=2.8712 b=2.8712 c=13.4423 alpha=90.00 beta=90.00 gamma=90.00
Atoms (fractional coordinates):
Zn 0.0000 0.0000 0.0000
Zn 0.0000 0.0000 0.2191
Zn 0.0000 0.0000 0.7809
Zn 0.5000 0.5000 0.4056
Zn 0.5000 0.5000 0.5944
C 0.0000 0.0000 0.5000
C 0.5000 0.5000 0.2530
C 0.5000 0.5000 0.7470



No. 2
ZnC after structural relaxation, computed with PBE.

Summary:
M_tot	0.00	Bohr magnetons per cell
ΔE_f	0.863	eV/atom
final energy	-4.386	eV/atom
space-group type	Fmmm (69)

Unit cell a=6.1898 b=7.6157 c=5.2965 alpha=90.00 beta=90.00 gamma=90.00
Atoms (fractional coordinates):
Zn 0.2500 0.2500 0.0000
Zn 0.2500 0.7500 0.0000
Zn 0.7500 0.2500 0.0000
Zn 0.7500 0.7500 0.0000
Zn 0.2500 0.7500 0.5000
Zn 0.2500 0.2500 0.5000
Zn 0.7500 0.7500 0.5000
Zn 0.7500 0.2500 0.5000
C 0.0000 0.0881 0.0000
C 0.0000 0.9119 0.0000
C 0.0000 0.5881 0.5000
C 0.0000 0.4119 0.5000
C 0.5000 0.0881 0.5000
C 0.5000 0.9119 0.5000
C 0.5000 0.5881 0.0000
C 0.5000 0.4119 0.0000



No. 3
ZnC2 after structural relaxation, computed with PBE.

Summary:
M_tot	0.00	Bohr magnetons per cell
ΔE_f	1.456	eV/atom
final energy	-5.118	eV/atom
space-group type	P-6m2 (187)

Unit cell a=3.2061 b=3.2061 c=3.9082 alpha=90.00 beta=90.00 gamma=120.00
Atoms (fractional coordinates):
Zn 0.3333 0.6667 0.5000
C 0.0000 0.0000 0.8371
C 0.0000 0.0000 0.1629



No. 4
ZnC2 after structural relaxation, computed with PBE.

Summary:
M_tot	0.00	Bohr magnetons per cell
ΔE_f	1.919	eV/atom
final energy	-4.655	eV/atom
space-group type	I4/mmm (139)

Unit cell a=5.5984 b=5.5984 c=5.5984 alpha=155.42 beta=155.42 gamma=35.05
Atoms (fractional coordinates):
Zn 0.0000 0.0000 0.0000
C 0.7538 0.7538 0.0000
C 0.2462 0.2462 0.0000